No. 1
First-principles (PBE-GGA) data for an optimized crystal structure of LiCa3Hg7, as listed in Alexandria via LeMat-Bulk.

```
LiCa3Hg7
1.0
-2.3522 -2.5196 -1.3630
-0.8662 -3.0317 12.1393
-9.6133 8.2331 1.3702
Li Hg Ca
2 14 6
direct
0.0651 0.1302 0.7500
0.9349 0.8698 0.2500
0.2937 0.5874 0.5437
0.6323 0.2645 0.8643
0.3677 0.7355 0.1357
0.4909 0.9818 0.1200
0.7063 0.4126 0.0437
0.7063 0.4126 0.4563
0.4909 0.9818 0.3800
0.6323 0.2645 0.6357
0.5091 0.0182 0.6200
0.2937 0.5874 0.9563
0.3584 0.7167 0.7500
0.6416 0.2833 0.2500
0.3677 0.7355 0.3643
0.5091 0.0182 0.8800
0.0930 0.1859 0.0627
0.7765 0.5531 0.2500
0.2235 0.4469 0.7500
0.9070 0.8141 0.9373
0.0930 0.1859 0.4373
0.9070 0.8141 0.5627
```

Energy of formation = -0.35 eV/atom
Total energy = -27.70 eV per cell
Symmetry = No. 63

=====

No. 2
First-principles (PBE-GGA) data for an optimized crystal structure of Li2CaHg2, as listed in Alexandria via LeMat-Bulk.

```
Li2CaHg2
1.0
7.8954 0.0000 0.0000
0.0000 7.8954 0.0000
0.0000 0.0000 3.4229
Ca Li Hg
2 4 4
direct
0.0000 0.0000 0.0000
0.5000 0.5000 0.0000
0.1210 0.3790 0.0000
0.3790 0.8790 0.0000
0.6210 0.1210 0.0000
0.8790 0.6210 0.0000
0.1737 0.6737 0.5000
0.6737 0.8263 0.5000
0.3263 0.1737 0.5000
0.8263 0.3263 0.5000
```

Energy of formation = -0.36 eV/atom
Total energy = -16.45 eV per cell
Relative energy among the computed polymorphs = 0.07 eV/f.u.
Symmetry = No. 127

=====

No. 3
First-principles (PBE-GGA) data for an optimized crystal structure of Li15CaHg4, as listed in Alexandria via LeMat-Bulk.

```
Li15CaHg4
1.0
-4.3501 -0.2883 0.4614
-0.3426 -1.4365 -4.1277
1.9165 -18.7362 6.3613
Li Hg Ca
15 4 1
direct
0.0000 0.5000 0.5000
0.5000 0.0000 0.8756
0.0000 0.5000 0.1244
0.5000 0.0000 0.3108
0.5000 0.5000 0.2154
0.5000 0.0000 0.6892
0.0000 0.5000 0.6892
0.0000 0.5000 0.3108
0.5000 0.5000 0.7846
0.5000 0.5000 0.4046
0.5000 0.5000 0.5954
0.5000 0.0000 0.1244
0.5000 0.5000 0.0000
0.0000 0.5000 0.8756
0.5000 0.0000 0.5000
0.0000 0.0000 0.2147
0.0000 0.0000 0.5953
0.0000 0.0000 0.7853
0.0000 0.0000 0.4047
0.0000 0.0000 0.0000
```

Energy of formation = -0.20 eV/atom
Total energy = -35.92 eV per cell
Symmetry = No. 123

=====

No. 4
First-principles (PBE-GGA) data for an optimized crystal structure of Li6CaHg, as listed in Alexandria via LeMat-Bulk.

```
Li6CaHg
1.0
4.9503 0.0000 0.0000
0.0000 5.7874 -2.6228
0.0000 -0.5606 6.3292
Li Ca Hg
6 1 1
direct
0.0000 0.3000 0.1284
0.0000 0.8716 0.7000
0.0000 0.3320 0.6680
0.5000 0.1595 0.3416
0.0000 0.8488 0.1512
0.5000 0.6584 0.8405
0.5000 0.6571 0.3429
0.5000 0.1727 0.8273
```

Energy of formation = -0.09 eV/atom
Total energy = -14.51 eV per cell
Relative energy among the computed polymorphs = 0.00 eV/f.u.
Symmetry = No. 38

=====

No. 5
First-principles (PBE-GGA) data for an optimized crystal structure of LiCa6Hg12, as listed in Alexandria via LeMat-Bulk.

```
LiCa6Hg12
1.0
-7.0409 -4.0082 -2.5899
4.6991 -5.7332 4.1710
-2.4389 5.8069 5.7166
Hg Ca Li
12 6 1
direct
0.7372 0.8739 0.1502
0.1502 0.7372 0.8739
0.2628 0.1261 0.8498
0.8084 0.4076 0.5476
0.1916 0.5924 0.4524
0.1261 0.8498 0.2628
0.4524 0.1916 0.5924
0.8498 0.2628 0.1261
0.5476 0.8084 0.4076
0.5924 0.4524 0.1916
0.8739 0.1502 0.7372
0.4076 0.5476 0.8084
0.7840 0.5256 0.9238
0.4744 0.0762 0.2160
0.0762 0.2160 0.4744
0.9238 0.7840 0.5256
0.5256 0.9238 0.7840
0.2160 0.4744 0.0762
0.0000 0.0000 0.0000
```

Energy of formation = -0.38 eV/atom
Total energy = -24.76 eV per cell
Symmetry = No. 148

=====

No. 6
First-principles (PBE-GGA) data for an optimized crystal structure of Li3Ca2Hg, as listed in Alexandria via LeMat-Bulk.

```
Li3Ca2Hg
1.0
-5.1027 3.0466 0.0912
0.2876 -5.4095 -2.4458
2.1721 -2.2836 5.1361
Li Ca Hg
3 2 1
direct
0.0000 0.0000 0.5000
0.5000 0.0000 0.5000
0.5000 0.5000 0.5000
0.7460 0.3742 0.1202
0.2540 0.6258 0.8798
0.0000 0.0000 0.0000
```

Energy of formation = -0.20 eV/atom
Total energy = -11.26 eV per cell
Relative energy among the computed polymorphs = 0.00 eV/f.u.
Symmetry = No. 12

=====

Which of these has the highest energy of formation?
Li6CaHg

=====

Among the records above, which one has the highest total energy?
Li3Ca2Hg

=====

What is the total energy in the fifth record?
-24.76 eV per cell